Below is a relaxed ThAl4Re crystal, with properties calculated at the PBE level.

Results
VASP energy	-6.162	eV per atom
density	7.5	g cm⁻³
formation energy from the elements	-0.3559	eV per atom
V	232.7	Å³/cell
D(E_F)	0.537	states/eV/atom

Cell and atoms, written as CIF:
```
data_ThAl4Re
_cell_length_a 7.750
_cell_length_b 4.252
_cell_length_c 7.061
_cell_angle_alpha 90.00
_cell_angle_beta 90.00
_cell_angle_gamma 90.00
_space_group_name_H-M_alt 'P m m a'
_space_group_IT_number 51
_space_group_name_Hall '-P 2a 2a'
loop_
_atom_site_label
_atom_site_type_symbol
_atom_site_fract_x
_atom_site_fract_y
_atom_site_fract_z
Th1 Th 0.250 0.000 0.130
Al1 Al 0.000 0.000 0.500
Al2 Al 0.068 0.500 0.811
Al3 Al 0.250 0.500 0.471
Re1 Re 0.250 0.000 0.711
```